1.
{
  "formula": "Mo3Se2",
  "functional": "GGA-PBE",
  "state": "relaxed",
  "lattice": [[-6.610, -7.677, -1.942], [-4.010, -9.416, -1.287], [-5.891, -8.397, 1.087]],
  "species": ["Se", "Se", "Mo", "Mo", "Mo"],
  "frac_coords": [[0.607, 0.607, 0.607], [0.393, 0.393, 0.393], [0.000, 0.000, 0.000], [0.806, 0.806, 0.806], [0.194, 0.194, 0.194]],
  "polymorph_energy_ev_per_atom": 0.000,
  "e_form_raw_ev_per_atom": 0.13,
  "sg": "R-3m"
}

=====

2.
{
  "formula": "KLi3Bi2",
  "functional": "GGA-PBE",
  "state": "relaxed",
  "lattice": [[4.617, 0.000, 1.229], [1.989, 7.060, 1.814], [-0.161, -0.634, 9.892]],
  "species": ["Li", "Li", "Li", "Li", "Li", "Li", "K", "K", "Bi", "Bi", "Bi", "Bi"],
  "frac_coords": [[0.736, 0.126, 0.402], [0.921, 0.723, 0.434], [0.264, 0.874, 0.598], [0.079, 0.277, 0.566], [0.566, 0.524, 0.344], [0.434, 0.476, 0.656], [0.876, 0.246, 0.002], [0.124, 0.754, 0.998], [0.399, 0.921, 0.281], [0.601, 0.079, 0.719], [0.815, 0.636, 0.735], [0.185, 0.364, 0.265]],
  "polymorph_energy_ev_per_atom": 0.000,
  "sg": "C2/m",
  "formation_enthalpy_0k_mev_per_atom": -405
}

=====

3.
{
  "formula": "Sr2ZrPd",
  "functional": "GGA-PBE",
  "state": "relaxed",
  "lattice": [[11.043, 0.000, 0.000], [0.000, 11.043, 0.000], [5.522, 5.522, 2.578]],
  "species": ["Zr", "Zr", "Sr", "Sr", "Sr", "Sr", "Pd", "Pd"],
  "frac_coords": [[0.500, 0.500, 0.000], [0.250, 0.750, 0.500], [0.875, 0.018, 0.750], [0.768, 0.125, 0.250], [0.982, 0.625, 0.250], [0.375, 0.232, 0.750], [0.000, 0.000, 0.000], [0.750, 0.250, 0.500]],
  "polymorph_energy_ev_per_atom": 0.000,
  "sg": "I-42d",
  "formation_enthalpy_0k_mev_per_atom": 259
}

=====

4.
{
  "formula": "Sc4NbIr5",
  "functional": "GGA-PBE",
  "state": "relaxed",
  "lattice": [[3.249, 0.000, 0.000], [0.000, 3.249, 0.000], [0.000, 0.000, 15.902]],
  "species": ["Ir", "Ir", "Ir", "Ir", "Ir", "Sc", "Sc", "Sc", "Sc", "Nb"],
  "frac_coords": [[0.500, 0.500, 0.701], [0.500, 0.500, 0.098], [0.500, 0.500, 0.500], [0.500, 0.500, 0.299], [0.500, 0.500, 0.902], [0.000, 0.000, 0.200], [0.000, 0.000, 0.800], [0.000, 0.000, 0.600], [0.000, 0.000, 0.400], [0.000, 0.000, 0.000]],
  "sg": "P4/mmm",
  "formation_enthalpy_0k_mev_per_atom": -847
}

=====

5.
{
  "formula": "B2PF",
  "functional": "GGA-PBE",
  "state": "relaxed",
  "lattice": [[0.000, 2.637, 2.637], [2.637, 0.000, 2.637], [2.637, 2.637, 0.000]],
  "species": ["B", "B", "P", "F"],
  "frac_coords": [[0.250, 0.250, 0.250], [0.750, 0.750, 0.750], [0.500, 0.500, 0.500], [0.000, 0.000, 0.000]],
  "polymorph_energy_ev_per_atom": 0.571,
  "e_form_raw_ev_per_atom": 0.92,
  "sg": "Fm-3m"
}

=====

6.
{
  "formula": "SrBe2BO",
  "functional": "GGA-PBE",
  "state": "relaxed",
  "lattice": [[-0.995, -3.409, -0.300], [5.987, -1.731, -0.184], [0.017, -0.318, 3.550]],
  "species": ["B", "Be", "Be", "Sr", "O"],
  "frac_coords": [[0.000, 0.000, 0.000], [0.000, 0.000, 0.500], [0.500, 0.000, 0.000], [0.000, 0.500, 0.000], [0.500, 0.500, 0.500]],
  "e_form_raw_ev_per_atom": -0.46,
  "sg": "P4/mmm"
}

=====

Volume: 89.8 327.6 314.4 167.8 36.7 79.2 (Å³/cell)
Final energy: -7.7595 -2.8389 -4.0172 -8.8167 -4.2380 -4.6146 (eV/atom)